# 1
Here is a geometry-optimized Cs4U3TiTe8 structure from the Alexandria database. Energies are from PBE-GGA.

## Properties
ΔE_f (raw) ... -0.83 eV per atom
DOS(E_F) ... 1.215 states/eV per atom
Raw total energy ... -5.22 eV per atom
Space-group type ... R-3m

abc: 10.364 10.364 10.364
angles: 51.10 51.10 51.10
Fractional coordinates of all 16 atoms:
Cs 0.000 0.000 0.000
Cs 0.000 0.500 0.500
Cs 0.500 0.000 0.500
Cs 0.500 0.500 0.000
U 0.000 0.000 0.500
U 0.000 0.500 0.000
U 0.500 0.000 0.000
Ti 0.500 0.500 0.500
Te 0.232 0.232 0.232
Te 0.244 0.721 0.721
Te 0.279 0.279 0.756
Te 0.279 0.756 0.279
Te 0.721 0.244 0.721
Te 0.721 0.721 0.244
Te 0.756 0.279 0.279
Te 0.768 0.768 0.768

=====

# 2
Here is a geometry-optimized Cs3U2TiTe6 structure from the Alexandria database. Energies are from PBE-GGA.

## Properties
ΔE_f (raw) ... -0.83 eV per atom
DOS(E_F) ... 1.257 states/eV per atom
Raw total energy ... -5.15 eV per atom
Space-group type ... C2/m

abc: 7.679 7.679 9.341
angles: 97.89 97.89 120.02
Fractional coordinates of all 12 atoms:
Cs 0.000 0.000 0.000
Cs 0.329 0.671 0.000
Cs 0.671 0.329 0.000
U 0.166 0.834 0.500
U 0.834 0.166 0.500
Ti 0.500 0.500 0.500
Te 0.121 0.438 0.314
Te 0.247 0.247 0.689
Te 0.438 0.121 0.314
Te 0.562 0.879 0.686
Te 0.753 0.753 0.311
Te 0.879 0.562 0.686